[1]
{"formula": "CaAgHg2", "functional": "GGA-PBEsol", "state": "relaxed", "lattice": [[4.4974, 0.0000, 0.0000], [0.0000, 4.4974, 0.0000], [0.0000, 0.0000, 4.3940]], "species": ["Ca", "Ag", "Hg", "Hg"], "frac_coords": [[0.0000, 0.0000, 0.0000], [0.5000, 0.5000, 0.0000], [0.0000, 0.5000, 0.5000], [0.5000, 0.0000, 0.5000]], "e_form_ev_per_atom": -0.32}

[2]
{"formula": "CaAg2Hg2", "functional": "GGA-PBEsol", "state": "relaxed", "lattice": [[-2.0317, 2.0317, 6.7167], [2.0317, -2.0317, 6.7167], [2.0317, 2.0317, -6.7167]], "species": ["Ca", "Ag", "Ag", "Hg", "Hg"], "frac_coords": [[0.0000, 0.0000, 0.0000], [0.2500, 0.7500, 0.5000], [0.7500, 0.2500, 0.5000], [0.3948, 0.3948, 0.0000], [0.6052, 0.6052, 0.0000]], "e_form_ev_per_atom": -0.23}

[3]
{"formula": "CaAg2Hg", "functional": "GGA-PBEsol", "state": "relaxed", "lattice": [[3.5702, 0.0000, 0.0000], [0.0000, 3.5702, 0.0000], [0.0000, 0.0000, 6.5265]], "species": ["Ca", "Ag", "Ag", "Hg"], "frac_coords": [[0.0000, 0.0000, 0.0000], [0.0000, 0.0000, 0.5164], [0.5000, 0.5000, 0.7194], [0.5000, 0.5000, 0.2811]], "e_form_ev_per_atom": -0.25}

[4]
{"formula": "Ca2AgHg2", "functional": "GGA-PBEsol", "state": "relaxed", "lattice": [[7.6140, 0.0000, 0.0000], [0.0000, 7.6140, 0.0000], [0.0000, 0.0000, 4.3444]], "species": ["Ca", "Ca", "Ca", "Ca", "Ag", "Ag", "Hg", "Hg", "Hg", "Hg"], "frac_coords": [[0.1700, 0.3300, 0.0000], [0.3300, 0.8300, 0.0000], [0.6700, 0.1700, 0.0000], [0.8300, 0.6700, 0.0000], [0.0000, 0.0000, 0.5000], [0.5000, 0.5000, 0.5000], [0.1356, 0.6356, 0.5000], [0.3644, 0.1356, 0.5000], [0.6356, 0.8644, 0.5000], [0.8644, 0.3644, 0.5000]], "e_form_ev_per_atom": -0.42}

[5]
{"formula": "Ca2AgHg", "functional": "GGA-PBEsol", "state": "relaxed", "lattice": [[3.7004, 0.0000, 0.0000], [0.0000, 5.1699, 0.0000], [0.0000, 0.0000, 5.1701]], "species": ["Ca", "Ca", "Ag", "Hg"], "frac_coords": [[0.0000, 0.0000, 0.0000], [0.0000, 0.5000, 0.4988], [0.5000, 0.0000, 0.5007], [0.5000, 0.5000, 0.9983]], "e_form_ev_per_atom": -0.44}

[6]
{"formula": "Ca2AgHg", "functional": "GGA-PBEsol", "state": "relaxed", "lattice": [[3.7734, 0.0000, 0.0000], [0.0000, 3.7734, 0.0000], [0.0000, 0.0000, 7.4090]], "species": ["Ca", "Ca", "Ag", "Hg"], "frac_coords": [[0.0000, 0.0000, 0.0000], [0.5000, 0.5000, 0.3740], [0.5000, 0.5000, 0.7902], [0.0000, 0.0000, 0.5852]], "e_form_ev_per_atom": -0.31}